First-principles (PBEsol) data for a geometry-optimized CaAlBr2 structure, as listed in the Alexandria database.

Its uncorrected formation energy is -865 meV per atom. As for the size of the total moment: 0.00 Bohr magnetons per cell.

It has space group Immm (No. 71), with a = 4.298 Å, b = 4.881 Å, c = 11.751 Å, α = 90.00°, β = 90.00° and γ = 90.00°. Symmetry generates all atoms from Ca at (0.000, 0.000, 0.000), Al at (0.000, 0.000, 0.500) and Br at (0.000, 0.500, 0.339).

---

First-principles (PBEsol) data for a geometry-optimized CaAlBr2 structure, as listed in the Alexandria database.

Its uncorrected formation energy is -560 meV per atom. As for the size of the total moment: 0.00 Bohr magnetons per cell.

It has space group R-3m (No. 166, hexagonal axes), with a = 4.2347 Å, b = 4.2347 Å, c = 27.4264 Å, α = 90.00°, β = 90.00° and γ = 120.00°. Symmetry generates all atoms from Ca at (0.0000, 0.0000, 0.0000), Al at (0.0000, 0.0000, 0.5000) and Br at (0.0000, 0.0000, 0.1000).

---

First-principles (PBEsol) data for a geometry-optimized CaAlBr2 structure, as listed in the Alexandria database.

Its uncorrected formation energy is -809 meV per atom. As for the size of the total moment: 0.00 Bohr magnetons per cell.

It has space group Pmmm (No. 47), with a = 3.837 Å, b = 4.432 Å, c = 6.082 Å, α = 90.00°, β = 90.00° and γ = 90.00°. Symmetry generates all atoms from Ca at (0.000, 0.000, 0.000), Al at (0.500, 0.000, 0.500), Br at (0.000, 0.500, 0.500) and Br at (0.500, 0.500, 0.000).

---

First-principles (PBEsol) data for a geometry-optimized Ca2AlBr structure, as listed in the Alexandria database.

Its uncorrected formation energy is -481 meV per atom. As for the size of the total moment: 0.00 Bohr magnetons per cell.

It has space group I-4m2 (No. 119), with a = 4.326 Å, b = 4.326 Å, c = 12.089 Å, α = 90.00°, β = 90.00° and γ = 90.00°. Symmetry generates all atoms from Ca at (0.000, 0.000, 0.000), Ca at (0.000, 0.500, 0.250), Al at (0.000, 0.000, 0.500) and Br at (0.000, 0.500, 0.750).

---

no.,polymorph energy (0 for the lowest one) (eV/atom)
1,0.000
2,0.304
3,0.056
4,0.000